The following is a DFT calculation (PBEsol) of a geometry-optimized Ca2ZrMo structure.

* formation energy from the elements: 0.5196 eV/atom
* E above lowest polymorph: 5.11 kcal/mol of atoms
* density of states at the Fermi level: 1.053 states/eV/atom
* E_tot: -0.212 Ha/atom

Geometry as POSCAR:
```
Ca2ZrMo
1.0
3.325 0.000 0.000
0.000 5.784 0.000
-1.663 -2.892 5.373
Zr Ca Mo
1 2 1
direct
0.800 0.300 0.600
0.012 0.012 0.023
0.213 0.713 0.426
0.475 0.475 0.951
```